Below is a relaxed structure of ZnCuRh4, with properties calculated at the GGA-PBE level.

## Properties
Formation enthalpy at 0 K ... 0.33 eV/atom
Space group ... F-43m (216)

Lattice parameters (Å, degrees): 5.0930 5.0930 5.0930 60.00 60.00 60.00
With the nearest neighbours (Å) after each atom.
Positions (direct):
Zn1 0.2500 0.2500 0.2500  12 Rh 2.99, 4 Cu 3.12
Cu1 0.0000 0.0000 0.0000  12 Rh 2.99, 4 Zn 3.12
Rh1 0.6250 0.6250 0.1249  6 Rh 2.55
Rh2 0.6250 0.1249 0.6250  6 Rh 2.55
Rh3 0.6250 0.6250 0.6250  6 Rh 2.55
Rh4 0.1249 0.6250 0.6250  6 Rh 2.55

Below is a relaxed structure of CaCdAsSe2, with properties calculated at the GGA-PBE level.

## Properties
Space group ... P4/mmm (123)
E above lowest polymorph ... 353 meV/atom

Lattice parameters (Å, degrees): 5.4001 5.4001 5.4684 90.00 90.00 90.00
With the nearest neighbours (Å) after each atom.
Positions (direct):
As1 0.0000 0.0000 0.5000  2 Ca 2.73
Ca1 0.0000 0.0000 0.0000  4 Se 2.70, 2 As 2.73
Se1 0.0000 0.5000 0.0000  2 Ca 2.70
Se2 0.5000 0.0000 0.0000  2 Ca 2.70
Cd1 0.5000 0.5000 0.5000  4 As 3.82, 8 Se 3.84

Below is a relaxed structure of BaLiMo2, with properties calculated at the GGA-PBE level.

## Properties
Formation enthalpy at 0 K ... 1.02 eV/atom
Space group ... F-43m (216)
E above lowest polymorph ... 446 meV/atom

Lattice parameters (Å, degrees): 4.8534 4.8534 4.8534 119.98 119.98 90.04
With the nearest neighbours (Å) after each atom.
Positions (direct):
Ba1 0.5000 0.5000 0.0000  4 Mo 2.97, 4 Li 2.97
Li1 0.7500 0.2500 0.5000  4 Ba 2.97, 4 Mo 2.97
Mo1 0.0000 0.0000 0.0000  4 Li 2.97, 4 Mo 2.97
Mo2 0.2500 0.7500 0.5000  4 Ba 2.97, 4 Mo 2.97

no.,theoretical density (kg/m3),uncorrected energy (eV/atom)
1,9610,-5.469
2,4013,-2.676
3,6903,-5.357